The following is a DFT calculation (PBE-GGA) of a geometry-optimized NbIn2Rh3 structure.

```
NbIn2Rh3
1.0
3.027 0.000 0.000
0.000 3.027 0.000
0.000 0.000 10.921
Nb In Rh
1 2 3
Direct
0.500 0.500 0.500
0.500 0.500 0.834
0.500 0.500 0.166
0.000 0.000 0.000
0.000 0.000 0.664
0.000 0.000 0.336
```

Values from the calculation:
* space group: No. 123
* calculated total energy: -40.09 eV per cell